1.
Density functional theory data (PBE-GGA) for Nd3Er2Te5 after structural relaxation.

a b c (Å): 4.4044 7.6643 9.9252
angles (deg): 96.85 77.18 73.30
With the nearest neighbours (Å) after each atom.
Sites, in units of the cell vectors:
1 Nd 0.5000 0.5000 0.5000  6 Te 3.16-3.21
2 Nd 0.9028 0.8872 0.3071  6 Te 3.13-3.24
3 Nd 0.0972 0.1128 0.6929  6 Te 3.13-3.24
4 Er 0.3051 0.2910 0.0987  6 Te 3.01-3.09
5 Er 0.6949 0.7090 0.9013  6 Te 3.01-3.09
6 Te 0.0000 0.0000 0.0000  4 Er 3.09, 2 Nd 3.24
7 Te 0.2074 0.1975 0.3878  1 Er 3.01, 5 Nd 3.13-3.16
8 Te 0.7926 0.8025 0.6122  1 Er 3.01, 5 Nd 3.13-3.16
9 Te 0.6163 0.5815 0.1859  3 Er 3.07-3.08, 3 Nd 3.20-3.21
10 Te 0.3837 0.4185 0.8141  3 Er 3.07-3.08, 3 Nd 3.20-3.21

Results
* calculated total energy: -52.57 eV per cell
* energy relative to the elements, uncorrected: -1.344 eV per atom

=====

2.
Density functional theory data (PBE-GGA) for Rb2Na2Sr after structural relaxation.

a b c (Å): 11.5704 11.5704 4.3958
angles (deg): 90.00 90.00 90.00
With the nearest neighbours (Å) after each atom.
Sites, in units of the cell vectors:
1 Sr 0.0000 0.0000 0.0000  2 Sr 4.40, 4 Rb 4.53, 8 Na 4.81
2 Sr 0.5000 0.5000 0.0000  2 Sr 4.40, 4 Rb 4.53, 8 Na 4.81
3 Rb 0.3686 0.8686 0.0000  6 Na 3.89-4.17, 1 Rb 4.30
4 Rb 0.8686 0.6314 0.0000  6 Na 3.89-4.17, 1 Rb 4.30
5 Rb 0.6314 0.1314 0.0000  6 Na 3.89-4.17, 1 Rb 4.30
6 Rb 0.1314 0.3686 0.0000  6 Na 3.89-4.17, 1 Rb 4.30
7 Na 0.1725 0.6725 0.5000  6 Rb 3.89-4.17
8 Na 0.6725 0.8275 0.5000  6 Rb 3.89-4.17
9 Na 0.8275 0.3275 0.5000  6 Rb 3.89-4.17
10 Na 0.3275 0.1725 0.5000  6 Rb 3.89-4.17

Results
* E_form: 137 meV per atom
* distance to the lowest polymorph of the same formula: 34 meV per atom
* calculated total energy: -11.14 eV per cell

=====

3.
Density functional theory data (PBE-GGA) for La2Ag after structural relaxation.

a b c (Å): 7.5915 7.5915 13.4047
angles (deg): 147.26 147.26 31.09
With the nearest neighbours (Å) after each atom.
Sites, in units of the cell vectors:
1 Ag 0.1894 0.1894 0.7812  7 La 3.15-3.44, 1 Ag 3.20
2 Ag 0.2550 0.2550 0.6077  7 La 3.15-3.44, 1 Ag 3.20
3 La 0.9832 0.9832 0.9692  4 Ag 3.17-3.24, 1 La 3.41
4 La 0.4612 0.4612 0.4197  4 Ag 3.17-3.24, 1 La 3.41
5 La 0.7208 0.7208 0.3966  3 Ag 3.15-3.44
6 La 0.7237 0.7237 0.9923  3 Ag 3.15-3.44

Results
* E_form: -109 meV per atom
* calculated total energy: -26.07 eV per cell

=====

4.
Density functional theory data (PBE-GGA) for MnInW2 after structural relaxation.

a b c (Å): 4.7173 4.7173 4.7173
angles (deg): 126.34 126.34 79.33
With the nearest neighbours (Å) after each atom.
Sites, in units of the cell vectors:
1 In 0.5000 0.5000 0.0000  8 W 2.80-3.01, 4 Mn 2.80
2 Mn 0.7500 0.2500 0.5000  8 W 2.80-3.01, 4 In 2.80
3 W 0.0000 0.0000 0.0000  4 Mn 2.80, 4 W 2.80, 4 In 3.01
4 W 0.2500 0.7500 0.5000  4 W 2.80, 4 In 2.80, 4 Mn 3.01

Results
* E_form: 462 meV per atom
* calculated total energy: -35.97 eV per cell

=====

5.
Density functional theory data (PBE-GGA) for UGaAgHg after structural relaxation.

a b c (Å): 4.9634 4.9634 4.9634
angles (deg): 60.00 60.00 60.00
With the nearest neighbours (Å) after each atom.
Sites, in units of the cell vectors:
1 Ga 0.7500 0.7500 0.7500  4 U 3.04, 4 Ag 3.04
2 U 0.5000 0.5000 0.5000  4 Hg 3.04, 4 Ga 3.04
3 Hg 0.2500 0.2500 0.2500  4 U 3.04, 4 Ag 3.04
4 Ag 0.0000 0.0000 0.0000  4 Ga 3.04, 4 Hg 3.04

Results
* E_form: 144 meV per atom
* calculated total energy: -16.89 eV per cell

=====

6.
Density functional theory data (PBE-GGA) for Pm14ScTl after structural relaxation.

a b c (Å): 7.1560 7.1560 10.2412
angles (deg): 90.00 90.00 90.01
With the nearest neighbours (Å) after each atom.
Sites, in units of the cell vectors:
1 Pm 0.3751 0.6249 0.5000  12 Pm 3.58-3.64
2 Pm 0.8752 0.1248 0.5000  12 Pm 3.58-3.66
3 Pm 0.8751 0.6254 0.0000  8 Pm 3.55, 2 Tl 3.58, 2 Sc 3.58
4 Pm 0.8750 0.6247 0.5000  12 Pm 3.58-3.65
5 Pm 0.3746 0.1249 0.0000  8 Pm 3.55, 2 Tl 3.58, 2 Sc 3.58
6 Pm 0.3753 0.1250 0.5000  12 Pm 3.58-3.65
7 Pm 0.6238 0.8738 0.7566  1 Sc 3.54, 10 Pm 3.55-3.66, 1 Tl 3.56
8 Pm 0.6238 0.8738 0.2434  1 Sc 3.54, 10 Pm 3.55-3.66, 1 Tl 3.56
9 Pm 0.1262 0.3762 0.7566  1 Sc 3.54, 10 Pm 3.55-3.66, 1 Tl 3.56
10 Pm 0.1262 0.3762 0.2434  1 Sc 3.54, 10 Pm 3.55-3.66, 1 Tl 3.56
11 Pm 0.1261 0.8739 0.7562  1 Sc 3.55, 10 Pm 3.55-3.65, 1 Tl 3.56
12 Pm 0.1261 0.8739 0.2438  1 Sc 3.55, 10 Pm 3.55-3.65, 1 Tl 3.56
13 Pm 0.6240 0.3760 0.7565  1 Sc 3.55, 10 Pm 3.55-3.66, 1 Tl 3.56
14 Pm 0.6240 0.3760 0.2435  1 Sc 3.55, 10 Pm 3.55-3.66, 1 Tl 3.56
15 Sc 0.3750 0.6250 0.0000  12 Pm 3.54-3.58
16 Tl 0.8747 0.1253 0.0000  12 Pm 3.56-3.58

Results
* E_form: -20 meV per atom
* calculated total energy: -75.53 eV per cell

=====

7.
Density functional theory data (PBE-GGA) for BeB2Ir4 after structural relaxation.

a b c (Å): 3.5262 5.5021 5.5021
angles (deg): 84.11 71.31 71.31
With the nearest neighbours (Å) after each atom.
Sites, in units of the cell vectors:
1 Be 0.0000 0.0000 0.0000  8 Ir 2.52
2 B 0.7500 0.5000 0.5000  2 B 1.76
3 B 0.2500 0.5000 0.5000  2 B 1.76
4 Ir 0.5000 0.2437 0.7563  2 B 2.08
5 Ir 0.5000 0.7563 0.2437  2 B 2.08
6 Ir 0.2563 0.2437 0.2437  2 B 2.08
7 Ir 0.7437 0.7563 0.7563  2 B 2.08

Results
* E_form: 345 meV per atom
* distance to the lowest polymorph of the same formula: 0 meV per atom
* calculated total energy: -50.11 eV per cell

=====

8.
Density functional theory data (PBE-GGA) for PmPrHo2Tm5 after structural relaxation.

a b c (Å): 8.8526 8.8526 9.6542
angles (deg): 117.29 117.29 90.00
With the nearest neighbours (Å) after each atom.
Sites, in units of the cell vectors:
1 Pm 0.2500 0.7500 0.5000  4 Tm 3.09
2 Pm 0.7500 0.2500 0.5000  4 Tm 3.09
3 Pr 0.2500 0.2500 0.5000  10 Tm 3.63-3.67
4 Pr 0.7500 0.7500 0.5000  10 Tm 3.63-3.67
5 Ho 0.1137 0.3863 0.0000  1 Ho 2.85, 2 Tm 2.99
6 Ho 0.6137 0.1137 0.0000  1 Ho 2.85, 2 Tm 2.99
7 Ho 0.3863 0.8863 0.0000  1 Ho 2.85, 2 Tm 2.99
8 Ho 0.8863 0.6137 0.0000  1 Ho 2.85, 2 Tm 2.99
9 Tm 0.9273 0.4273 0.2626  1 Ho 2.99, 1 Pm 3.09
10 Tm 0.6647 0.1647 0.7374  1 Ho 2.99, 1 Pm 3.09
11 Tm 0.0727 0.5727 0.7374  1 Ho 2.99, 1 Pm 3.09
12 Tm 0.1647 0.0727 0.7374  1 Ho 2.99, 1 Pm 3.09
13 Tm 0.5727 0.6647 0.7374  1 Ho 2.99, 1 Pm 3.09
14 Tm 0.8353 0.9273 0.2626  1 Ho 2.99, 1 Pm 3.09
15 Tm 0.4273 0.3353 0.2626  1 Ho 2.99, 1 Pm 3.09
16 Tm 0.3353 0.8353 0.2626  1 Ho 2.99, 1 Pm 3.09
17 Tm 0.5000 0.5000 0.0000  4 Ho 3.57, 2 Pr 3.67, 8 Tm 3.72
18 Tm 0.0000 0.0000 0.0000  4 Ho 3.57, 2 Pr 3.67, 8 Tm 3.72

Results
* E_form: 281 meV per atom
* calculated total energy: -77.03 eV per cell

=====

9.
Density functional theory data (PBE-GGA) for Ga2CoHg after structural relaxation.

a b c (Å): 4.1005 4.1005 9.1020
angles (deg): 76.98 76.98 90.00
With the nearest neighbours (Å) after each atom.
Sites, in units of the cell vectors:
1 Co 0.5000 0.5000 0.0000  4 Ga 2.51
2 Co 0.2500 0.7500 0.5000  4 Ga 2.51
3 Hg 0.0000 0.0000 0.0000  4 Ga 2.70, 4 Co 2.90
4 Hg 0.7500 0.2500 0.5000  4 Ga 2.70, 4 Co 2.90
5 Ga 0.5673 0.1250 0.2500  2 Co 2.51, 2 Ga 2.59, 2 Hg 2.70
6 Ga 0.1827 0.6250 0.2500  2 Co 2.51, 2 Ga 2.59, 2 Hg 2.70
7 Ga 0.3750 0.4327 0.7500  2 Co 2.51, 2 Ga 2.59, 2 Hg 2.70
8 Ga 0.8750 0.8173 0.7500  2 Co 2.51, 2 Ga 2.59, 2 Hg 2.70

Results
* E_form: 261 meV per atom
* distance to the lowest polymorph of the same formula: 0 meV per atom
* calculated total energy: -24.84 eV per cell

=====

10.
Density functional theory data (PBE-GGA) for RbNbCrSn2 after structural relaxation.

a b c (Å): 5.4272 5.8758 5.4272
angles (deg): 90.00 90.00 90.00
With the nearest neighbours (Å) after each atom.
Sites, in units of the cell vectors:
1 Cr 0.5000 0.5000 0.5000  4 Rb 3.84, 8 Sn 4.00
2 Nb 0.0000 0.0000 0.0000  4 Sn 2.71, 2 Rb 2.94
3 Sn 0.0000 0.0000 0.5000  2 Nb 2.71
4 Sn 0.5000 0.0000 0.0000  2 Nb 2.71
5 Rb 0.0000 0.5000 0.0000  2 Nb 2.94

Results
* E_form: 1716 meV per atom
* calculated total energy: -20.09 eV per cell

=====

11.
Density functional theory data (PBE-GGA) for Cd2SiTc after structural relaxation.

a b c (Å): 3.2086 3.2086 6.9887
angles (deg): 90.00 90.00 90.00
With the nearest neighbours (Å) after each atom.
Sites, in units of the cell vectors:
1 Cd 0.0000 0.0000 0.9739  1 Si 2.85, 4 Tc 3.02, 4 Cd 3.08
2 Cd 0.5000 0.5000 0.2711  1 Tc 2.92, 4 Si 3.06, 8 Cd 3.08-3.21
3 Si 0.0000 0.0000 0.5655  4 Tc 2.43
4 Tc 0.5000 0.5000 0.6894  4 Si 2.43

Results
* calculated total energy: -17.56 eV per cell
* energy relative to the elements, uncorrected: 0.015 eV per atom

=====

12.
Density functional theory data (PBE-GGA) for Tb2Pr6DyY3 after structural relaxation.

a b c (Å): 6.3257 6.3257 11.9287
angles (deg): 95.06 95.06 120.00
With the nearest neighbours (Å) after each atom.
Sites, in units of the cell vectors:
1 Tb 0.3334 0.6666 0.0000  6 Pr 3.61, 3 Tb 3.65, 3 Dy 3.65
2 Tb 0.6666 0.3334 0.0000  6 Pr 3.61, 3 Tb 3.65, 3 Dy 3.65
3 Pr 0.9164 0.5832 0.7507  2 Tb 3.61, 1 Dy 3.61, 3 Y 3.62, 6 Pr 3.65
4 Pr 0.7504 0.7504 0.2495  1 Dy 3.61, 2 Tb 3.61, 3 Y 3.62, 6 Pr 3.65
5 Pr 0.0836 0.4168 0.2493  2 Tb 3.61, 1 Dy 3.61, 3 Y 3.62, 6 Pr 3.65
6 Pr 0.5832 0.9164 0.7507  2 Tb 3.61, 1 Dy 3.61, 3 Y 3.62, 6 Pr 3.65
7 Pr 0.2496 0.2496 0.7505  1 Dy 3.61, 2 Tb 3.61, 3 Y 3.62, 6 Pr 3.65
8 Pr 0.4168 0.0836 0.2493  2 Tb 3.61, 1 Dy 3.61, 3 Y 3.62, 6 Pr 3.65
9 Dy 0.0000 0.0000 0.0000  6 Pr 3.61, 6 Tb 3.65
10 Y 0.1667 0.8333 0.5000  6 Pr 3.62, 6 Y 3.65
11 Y 0.8333 0.1667 0.5000  6 Pr 3.62, 6 Y 3.65
12 Y 0.5000 0.5000 0.5000  6 Pr 3.62, 6 Y 3.65

Results
* E_form: 8 meV per atom
* calculated total energy: -61.83 eV per cell